The following is a GGA+U calculation of crystalline TlWN2O at its relaxed geometry, from the Alexandria database.

a b c (Å): 4.091 4.091 3.991
angles (deg): 90.00 90.00 90.00
Site moments in Bohr magnetons follow the coordinates.
Atoms (fractional coordinates):
Tl (0.500, 0.500, 0.500)  0.04
O (0.000, 0.000, 0.500)  0.01
W (0.000, 0.000, 0.000)  -0.26
N (0.000, 0.500, 0.000)  0.23
N (0.500, 0.000, 0.000)  0.23

Summary:
Density = 10.7 g/cm3
Electronic total energy = -6.3495 eV per atom